The following is a DFT calculation (PBE) of a geometry-optimized AgHgTeO structure.

```
data_AgHgTeO
_chemical_formula_sum 'Ag2 Hg2 Te2 O2'
_space_group_name_H-M_alt 'P 4/n m m'
_space_group_IT_number 129
_cell_length_a 4.2230
_cell_length_b 4.2230
_cell_length_c 10.4286
_cell_angle_alpha 90.00
_cell_angle_beta 90.00
_cell_angle_gamma 90.00
loop_
_space_group_symop_operation_xyz
'x,y,z'
'-x,-y,-z'
'-y+1/2,x,z'
'y+1/2,-x,-z'
'-x+1/2,-y+1/2,z'
'x+1/2,y+1/2,-z'
'y,-x+1/2,z'
'-y,x+1/2,-z'
'x+1/2,-y,-z'
'-x+1/2,y,z'
'-y,-x,-z'
'y,x,z'
'-x,y+1/2,-z'
'x,-y+1/2,z'
'y+1/2,x+1/2,-z'
'-y+1/2,-x+1/2,z'
loop_
_atom_site_label
_atom_site_fract_x
_atom_site_fract_y
_atom_site_fract_z
Ag1 0.2500 0.2500 0.2098
Hg1 0.2500 0.2500 0.6164
Te1 0.2500 0.7500 0.0000
O1 0.2500 0.2500 0.4089
```

---

The following is a DFT calculation (PBE) of a geometry-optimized AgHgTeO structure.

```
data_AgHgTeO
_chemical_formula_sum 'Ag2 Hg2 Te2 O2'
_space_group_name_H-M_alt 'P 63 m c'
_space_group_IT_number 186
_space_group_name_Hall 'P 6c -2c'
_cell_length_a 3.7805
_cell_length_b 3.7805
_cell_length_c 13.9142
_cell_angle_alpha 90.00
_cell_angle_beta 90.00
_cell_angle_gamma 120.00
loop_
_atom_site_label
_atom_site_fract_x
_atom_site_fract_y
_atom_site_fract_z
Ag1 0.0000 0.0000 0.0000
Hg1 0.3333 0.6667 0.2903
Te1 0.3333 0.6667 0.6256
O1 0.0000 0.0000 0.3446
```

---

The following is a DFT calculation (PBE) of a geometry-optimized AgHgTeO structure.

```
data_AgHgTeO
_chemical_formula_sum 'Ag8 Hg8 Te8 O8'
_space_group_name_H-M_alt 'P b c a'
_space_group_IT_number 61
_cell_length_a 6.9624
_cell_length_b 12.1389
_cell_length_c 8.6468
_cell_angle_alpha 90.00
_cell_angle_beta 90.00
_cell_angle_gamma 90.00
loop_
_space_group_symop_operation_xyz
'x,y,z'
'-x,-y,-z'
'-x+1/2,-y,z+1/2'
'x+1/2,y,-z+1/2'
'x+1/2,-y+1/2,-z'
'-x+1/2,y+1/2,z'
'-x,y+1/2,-z+1/2'
'x,-y+1/2,z+1/2'
loop_
_atom_site_label
_atom_site_fract_x
_atom_site_fract_y
_atom_site_fract_z
Ag1 0.0229 0.2498 0.2426
Hg1 0.1980 0.6154 0.0343
Te1 0.0443 0.0064 0.7678
O1 0.2352 0.7433 0.3907
```

---

The following is a DFT calculation (PBE) of a geometry-optimized AgHgTeO structure.

```
data_AgHgTeO
_chemical_formula_sum 'Ag2 Hg2 Te2 O2'
_space_group_name_H-M_alt 'P 4/n m m'
_space_group_IT_number 129
_cell_length_a 4.1458
_cell_length_b 4.1458
_cell_length_c 11.4023
_cell_angle_alpha 90.00
_cell_angle_beta 90.00
_cell_angle_gamma 90.00
loop_
_space_group_symop_operation_xyz
'x,y,z'
'-x,-y,-z'
'-y+1/2,x,z'
'y+1/2,-x,-z'
'-x+1/2,-y+1/2,z'
'x+1/2,y+1/2,-z'
'y,-x+1/2,z'
'-y,x+1/2,-z'
'x+1/2,-y,-z'
'-x+1/2,y,z'
'-y,-x,-z'
'y,x,z'
'-x,y+1/2,-z'
'x,-y+1/2,z'
'y+1/2,x+1/2,-z'
'-y+1/2,-x+1/2,z'
loop_
_atom_site_label
_atom_site_fract_x
_atom_site_fract_y
_atom_site_fract_z
Ag1 0.2500 0.2500 0.0985
Hg1 0.2500 0.2500 0.7257
Te1 0.2500 0.7500 0.5000
O1 0.2500 0.2500 0.9088
```

---

The following is a DFT calculation (PBE) of a geometry-optimized AgHgTeO structure.

```
data_AgHgTeO
_chemical_formula_sum 'Ag2 Hg2 Te2 O2'
_space_group_name_H-M_alt 'P 4/n m m'
_space_group_IT_number 129
_cell_length_a 4.3172
_cell_length_b 4.3172
_cell_length_c 9.0980
_cell_angle_alpha 90.00
_cell_angle_beta 90.00
_cell_angle_gamma 90.00
loop_
_space_group_symop_operation_xyz
'x,y,z'
'-x,-y,-z'
'-y+1/2,x,z'
'y+1/2,-x,-z'
'-x+1/2,-y+1/2,z'
'x+1/2,y+1/2,-z'
'y,-x+1/2,z'
'-y,x+1/2,-z'
'x+1/2,-y,-z'
'-x+1/2,y,z'
'-y,-x,-z'
'y,x,z'
'-x,y+1/2,-z'
'x,-y+1/2,z'
'y+1/2,x+1/2,-z'
'-y+1/2,-x+1/2,z'
loop_
_atom_site_label
_atom_site_fract_x
_atom_site_fract_y
_atom_site_fract_z
Ag1 0.2500 0.2500 0.0254
Hg1 0.2500 0.2500 0.3528
Te1 0.2500 0.2500 0.6788
O1 0.2500 0.7500 0.0000
```

---

The following is a DFT calculation (PBE) of a geometry-optimized AgHgTeO structure.

```
data_AgHgTeO
_chemical_formula_sum 'Ag2 Hg2 Te2 O2'
_space_group_name_H-M_alt 'P 4/n m m'
_space_group_IT_number 129
_cell_length_a 4.5231
_cell_length_b 4.5231
_cell_length_c 9.2767
_cell_angle_alpha 90.00
_cell_angle_beta 90.00
_cell_angle_gamma 90.00
loop_
_space_group_symop_operation_xyz
'x,y,z'
'-x,-y,-z'
'-y+1/2,x,z'
'y+1/2,-x,-z'
'-x+1/2,-y+1/2,z'
'x+1/2,y+1/2,-z'
'y,-x+1/2,z'
'-y,x+1/2,-z'
'x+1/2,-y,-z'
'-x+1/2,y,z'
'-y,-x,-z'
'y,x,z'
'-x,y+1/2,-z'
'x,-y+1/2,z'
'y+1/2,x+1/2,-z'
'-y+1/2,-x+1/2,z'
loop_
_atom_site_label
_atom_site_fract_x
_atom_site_fract_y
_atom_site_fract_z
Ag1 0.2500 0.7500 0.0000
Hg1 0.2500 0.2500 0.3528
Te1 0.2500 0.2500 0.8165
O1 0.2500 0.2500 0.6105
```

---

Number 1: DFT total energy -20.3 eV per cell, relative energy among the computed polymorphs 0.353 eV per atom. Number 2: DFT total energy -22.8 eV per cell, relative energy among the computed polymorphs 0.052 eV per atom. Number 3: DFT total energy -89.5 eV per cell, relative energy among the computed polymorphs 0.101 eV per atom. Number 4: DFT total energy -19.8 eV per cell, relative energy among the computed polymorphs 0.424 eV per atom. Number 5: DFT total energy -22.0 eV per cell, relative energy among the computed polymorphs 0.152 eV per atom. Number 6: DFT total energy -21.8 eV per cell, relative energy among the computed polymorphs 0.172 eV per atom.